1.
DFT (GGA-PBEsol) results for a relaxed structure of Nd2Pd2Pb.

Results
**Formation energy from the elements**: -0.787 eV/atom
**Crystal system**: tetragonal

a b c (Å): 7.8326 7.8326 3.7939
angles (deg): 90.00 90.00 90.00
Space group P4/mbm (No. 127)
Asymmetric unit:
Nd: 0.1759 0.3241 0.0000 (multiplicity 4)
Pd: 0.1240 0.6240 0.5000 (multiplicity 4)
Pb: 0.0000 0.0000 0.5000 (multiplicity 2)

=====

2.
DFT (GGA-PBEsol) results for a relaxed structure of Li3MnO2F2.

Results
**Relative energy among the computed polymorphs**: 53 meV per atom
**Crystal system**: monoclinic
**ΔE_f (raw)**: -2.313 eV per atom

a b c (Å): 4.9602 5.8851 4.9517
angles (deg): 90.00 106.65 90.00
Space group P2/c (No. 13)
Asymmetric unit:
Li: 0.0000 0.1159 0.2500 (multiplicity 2)
Li: 0.0000 0.3627 0.7500 (multiplicity 2)
Li: 0.5000 0.3699 0.2500 (multiplicity 2)
Mn: 0.5000 0.1084 0.7500 (multiplicity 2)
O: 0.2648 0.1194 0.9845 (multiplicity 4)
F: 0.2503 0.3826 0.5020 (multiplicity 4)